# 1
Entry from Alexandria via LeMat-Bulk: a geometry-optimized MnZn2Ru structure (PBE). Values from VASP.

The structure in Quantum ESPRESSO input format:
```
&SYSTEM
  ibrav = 0, nat = 4, ntyp = 3
/
ATOMIC_SPECIES
Mn 54.94 Mn.upf
Zn 65.41 Zn.upf
Ru 101.07 Ru.upf
ATOMIC_POSITIONS angstrom
Mn 0.000 0.000 0.000
Zn 0.000 1.903 1.920
Zn 1.903 0.000 1.920
Ru 1.903 1.903 0.000
CELL_PARAMETERS angstrom
3.805 0.000 0.000
0.000 3.805 0.000
0.000 0.000 3.840
```

Output
* calculated formation energy: -0.04 eV per atom



# 2
Entry from Alexandria via LeMat-Bulk: a geometry-optimized ZnCdGa3 structure (PBE). Values from VASP.

The structure in Quantum ESPRESSO input format:
```
&SYSTEM
  ibrav = 0, nat = 20, ntyp = 3
/
ATOMIC_SPECIES
Zn 65.41 Zn.upf
Cd 112.41 Cd.upf
Ga 69.72 Ga.upf
ATOMIC_POSITIONS angstrom
Zn 3.467 3.275 5.255
Zn 5.900 3.275 4.398
Zn 4.461 -3.275 2.037
Zn 6.894 -3.275 1.181
Cd 5.678 3.643 1.609
Cd 4.683 0.496 4.826
Cd 5.678 -0.496 1.609
Cd 4.683 -3.643 4.826
Ga 1.126 0.559 3.597
Ga 3.446 1.631 2.352
Ga 2.036 1.293 6.142
Ga 2.121 -0.559 0.380
Ga 3.030 -1.293 2.925
Ga 7.910 1.631 0.866
Ga 2.451 -1.631 5.569
Ga 7.330 1.293 3.511
Ga 8.240 0.559 6.055
Ga 8.325 -1.293 0.293
Ga 6.915 -1.631 4.084
Ga 9.234 -0.559 2.838
CELL_PARAMETERS angstrom
6.175 -4.936 0.000
6.175 4.936 0.000
-1.989 0.000 6.435
```

Output
* calculated formation energy: 0.06 eV per atom



# 3
Entry from Alexandria via LeMat-Bulk: a geometry-optimized Hg2PtPb structure (PBE). Values from VASP.

The structure in Quantum ESPRESSO input format:
```
&SYSTEM
  ibrav = 0, nat = 4, ntyp = 3
/
ATOMIC_SPECIES
Hg 200.59 Hg.upf
Pt 195.08 Pt.upf
Pb 207.20 Pb.upf
ATOMIC_POSITIONS angstrom
Hg 1.500 2.342 0.000
Hg 1.500 -2.342 0.000
Pt 0.000 0.000 1.605
Pb 3.000 0.000 1.605
CELL_PARAMETERS angstrom
3.000 -4.683 0.000
3.000 4.683 0.000
0.000 0.000 3.210
```

Output
* calculated formation energy: 0.23 eV per atom



# 4
Entry from Alexandria via LeMat-Bulk: a geometry-optimized CsK2MgCd structure (PBE). Values from VASP.

The structure in Quantum ESPRESSO input format:
```
&SYSTEM
  ibrav = 0, nat = 5, ntyp = 4
/
ATOMIC_SPECIES
Cs 132.91 Cs.upf
K 39.10 K.upf
Mg 24.30 Mg.upf
Cd 112.41 Cd.upf
ATOMIC_POSITIONS angstrom
Cs 0.000 0.000 0.000
K 0.000 3.494 2.811
K 3.494 0.000 2.811
Mg 3.494 3.494 0.000
Cd 3.494 3.494 2.811
CELL_PARAMETERS angstrom
6.987 0.000 0.000
0.000 6.987 0.000
0.000 0.000 5.622
```

Output
* calculated formation energy: 0.09 eV per atom



# 5
Entry from Alexandria via LeMat-Bulk: a geometry-optimized La6SmS8 structure (PBE). Values from VASP.

The structure in Quantum ESPRESSO input format:
```
&SYSTEM
  ibrav = 0, nat = 15, ntyp = 3
/
ATOMIC_SPECIES
La 138.91 La.upf
Sm 150.36 Sm.upf
S 32.06 S.upf
ATOMIC_POSITIONS angstrom
La 2.929 2.929 0.000
La 2.929 0.000 2.929
La 5.858 2.929 2.929
La 0.000 2.929 2.929
La 2.929 5.858 2.929
La 2.929 2.929 5.858
Sm 0.000 0.000 0.000
S 5.858 5.858 2.842
S 5.858 2.842 5.858
S 8.874 5.858 5.858
S 2.929 2.929 2.929
S 8.787 8.787 8.787
S 2.842 5.858 5.858
S 5.858 8.874 5.858
S 5.858 5.858 8.874
CELL_PARAMETERS angstrom
0.000 5.858 5.858
5.858 0.000 5.858
5.858 5.858 0.000
```

Output
* uncorrected formation energy: -2153 meV/atom



# 6
Entry from Alexandria via LeMat-Bulk: a geometry-optimized CrTc structure (PBE). Values from VASP.

The structure in Quantum ESPRESSO input format:
```
&SYSTEM
  ibrav = 0, nat = 2, ntyp = 2
/
ATOMIC_SPECIES
Cr 52.00 Cr.upf
Tc 98.00 Tc.upf
ATOMIC_POSITIONS angstrom
Cr 0.000 0.000 0.000
Tc 2.461 2.461 2.461
CELL_PARAMETERS angstrom
0.000 2.461 2.461
2.461 0.000 2.461
2.461 2.461 0.000
```

Output
* calculated formation energy: 0.94 eV per atom



VASP energy for every record listed, in sequence, given in eV per atom: -5.288, -2.192, -2.359, -1.020, -6.640, -9.055.
Density for every record listed, in sequence, given in g cm⁻³: 8.6, 6.6, 14.8, 2.1, 5.1, 8.4.